A geometry-optimized Ba3SrAg2 structure. Source: Alexandria via LeMat-Bulk, functional PBE.

Cell: 4.823 10.113 12.107 Å, 76.13 78.51 76.20°
Sites, in units of the cell vectors:
Ba1 0.584 0.766 0.066
Ba2 0.415 0.725 0.444
Ba3 0.585 0.275 0.556
Ba4 0.842 0.070 0.246
Ba5 0.416 0.234 0.934
Ba6 0.158 0.930 0.754
Ag1 0.233 0.581 0.953
Ag2 0.233 0.082 0.452
Ag3 0.767 0.419 0.047
Ag4 0.767 0.918 0.548
Sr1 0.837 0.572 0.755
Sr2 0.163 0.428 0.245

Summary:
Space group ... No. 12
Formation enthalpy at 0 K ... -0.182 eV per atom
Total magnetic moment ... 0.0 μB per formula unit
N(E_F) ... 12.898 states/eV per cell